Material: Ho2ErO
Method: DFT, PBE
State: optimized geometry

Output
calculated density	9.8	g/cm3
formation energy (no corrections)	-0.829	eV/atom
space-group type	P4/mmm (123)
density of states at the Fermi level	5.02	states/eV per cell

Cell lengths 3.179, 3.179, 8.591 Å; angles 90.00, 90.00, 90.00 degrees
Fractional coordinates of all 4 atoms:
Ho (0.000, 0.000, 0.178)
Ho (0.000, 0.000, 0.822)
Er (0.500, 0.500, 0.500)
O (0.500, 0.500, 0.000)